Entry 1:
VASP calculation (PBE) on crystalline TbPmY2Te6 at its relaxed geometry.

Raw total energy = -54.96 eV for the cell shown

Cell and atoms, written as POSCAR:
```
TbPmY2Te6
1.0
3.880 2.240 7.067
-3.880 2.240 7.067
0.000 -4.480 7.067
Tb Pm Y Te
1 1 2 6
direct
0.000 0.000 0.000
0.498 0.498 0.498
0.187 0.187 0.187
0.686 0.686 0.686
0.083 0.789 0.409
0.282 0.591 0.912
0.409 0.083 0.789
0.591 0.912 0.282
0.789 0.409 0.083
0.912 0.282 0.591
```

Entry 2:
VASP calculation (PBE) on crystalline Zr2TaMo at its relaxed geometry.

Formation energy = 0.00 eV per atom

Cell and atoms, written as POSCAR:
```
Zr2TaMo
1.0
-1.680 2.444 4.852
1.680 -2.444 4.852
1.680 2.444 -4.852
Zr Ta Mo
2 1 1
direct
0.000 0.000 0.000
0.730 0.230 0.500
0.454 0.454 0.000
0.245 0.745 0.500
```

Entry 3:
VASP calculation (PBE) on crystalline LaNdTmTl at its relaxed geometry.

Formation energy = -0.09 eV per atom

Cell and atoms, written as POSCAR:
```
LaNdTmTl
1.0
0.000 3.968 3.968
3.968 0.000 3.968
3.968 3.968 0.000
La Nd Tm Tl
1 1 1 1
direct
0.000 0.000 0.000
0.500 0.500 0.500
0.250 0.250 0.250
0.750 0.750 0.750
```

Entry 4:
VASP calculation (PBE) on crystalline PaTaN at its relaxed geometry.

Raw total energy = -31.93 eV for the cell shown

Cell and atoms, written as POSCAR:
```
PaTaN
1.0
3.158 0.000 0.000
-1.579 2.735 0.000
0.000 0.000 5.661
Pa Ta N
1 1 1
direct
0.000 0.000 0.000
0.667 0.333 0.504
0.333 0.667 0.302
```

Entry 5:
VASP calculation (PBE) on crystalline V6FeSi at its relaxed geometry.

Raw total energy = -70.19 eV for the cell shown

Cell and atoms, written as POSCAR:
```
V6FeSi
1.0
-2.127 2.127 5.709
2.127 -2.127 5.709
2.127 2.127 -5.709
V Fe Si
6 1 1
direct
0.126 0.626 0.500
0.245 0.245 0.000
0.374 0.874 0.500
0.626 0.126 0.500
0.755 0.755 0.000
0.874 0.374 0.500
0.500 0.500 0.000
0.000 0.000 0.000
```

Entry 6:
VASP calculation (PBE) on crystalline Er5Tm3Pb2 at its relaxed geometry.

Formation energy = 0.10 eV per atom

Cell and atoms, written as POSCAR:
```
Er5Tm3Pb2
1.0
-6.344 7.896 3.142
6.344 -7.896 3.142
6.344 7.896 -3.142
Er Tm Pb
10 6 4
direct
0.166 0.102 0.268
0.250 0.001 0.751
0.250 0.250 0.000
0.250 0.499 0.249
0.334 0.602 0.936
0.666 0.398 0.064
0.750 0.501 0.751
0.750 0.750 0.000
0.750 0.999 0.249
0.834 0.898 0.732
0.204 0.384 0.588
0.250 0.750 0.500
0.296 0.884 0.181
0.704 0.116 0.819
0.750 0.250 0.500
0.796 0.616 0.412
0.148 0.645 0.793
0.352 0.145 0.497
0.648 0.855 0.503
0.852 0.355 0.207
```

Number 1: calculated density 5621 kg/m3. Number 2: calculated density 9572 kg/m3. Number 3: calculated density 8722 kg/m3. Number 4: calculated density 14466 kg/m3. Number 5: calculated density 6259 kg/m3. Number 6: calculated density 9271 kg/m3.